1.
A geometry-optimized LuMgCdIn structure. Source: the Alexandria database, functional PBE.

Unit cell a=7.206 b=7.206 c=7.206 alpha=90.00 beta=90.00 gamma=90.00
Space group F-43m (No. 216)
Asymmetric unit:
Lu  0.000  0.000  0.000 (multiplicity 4)
Mg  0.000  0.000  0.500 (multiplicity 4)
Cd  0.250  0.250  0.250 (multiplicity 4)
In  0.250  0.250  0.750 (multiplicity 4)

Calculated values
energy of formation	-0.27	eV/atom
crystal system	cubic
magnetization	0.000	μB per atom

---

2.
A geometry-optimized LuMnCdIn structure. Source: the Alexandria database, functional PBE.

Unit cell a=6.975 b=6.975 c=6.975 alpha=90.00 beta=90.00 gamma=90.00
Space group F-43m (No. 216)
Asymmetric unit:
Lu  0.000  0.000  0.000 (multiplicity 4)
Mn  0.000  0.000  0.500 (multiplicity 4)
Cd  0.250  0.250  0.750 (multiplicity 4)
In  0.250  0.250  0.250 (multiplicity 4)

Calculated values
energy of formation	-0.03	eV/atom
crystal system	cubic
magnetization	0.871	μB per atom

---

3.
A geometry-optimized PmLuCdIn structure. Source: the Alexandria database, functional PBE.

Unit cell a=7.527 b=7.527 c=7.527 alpha=90.00 beta=90.00 gamma=90.00
Space group F-43m (No. 216)
Asymmetric unit:
Pm  0.000  0.000  0.000 (multiplicity 4)
Lu  0.000  0.000  0.500 (multiplicity 4)
Cd  0.250  0.250  0.250 (multiplicity 4)
In  0.250  0.250  0.750 (multiplicity 4)

Calculated values
energy of formation	-0.38	eV/atom
crystal system	cubic
magnetization	0.000	μB per atom

---

4.
A geometry-optimized LuCdInPt structure. Source: the Alexandria database, functional PBE.

Unit cell a=6.888 b=6.888 c=6.888 alpha=90.00 beta=90.00 gamma=90.00
Space group F-43m (No. 216)
Asymmetric unit:
Lu  0.000  0.000  0.000 (multiplicity 4)
Cd  0.250  0.250  0.250 (multiplicity 4)
In  0.000  0.000  0.500 (multiplicity 4)
Pt  0.250  0.250  0.750 (multiplicity 4)

Calculated values
energy of formation	-0.59	eV/atom
crystal system	cubic
magnetization	0.000	μB per atom

---

5.
A geometry-optimized LuCdInRh structure. Source: the Alexandria database, functional PBE.

Unit cell a=6.846 b=6.846 c=6.846 alpha=90.00 beta=90.00 gamma=90.00
Space group F-43m (No. 216)
Asymmetric unit:
Lu  0.000  0.000  0.000 (multiplicity 4)
Cd  0.250  0.250  0.750 (multiplicity 4)
In  0.000  0.000  0.500 (multiplicity 4)
Rh  0.250  0.250  0.250 (multiplicity 4)

Calculated values
energy of formation	-0.41	eV/atom
crystal system	cubic
magnetization	0.000	μB per atom

---

6.
A geometry-optimized SmLuCdIn structure. Source: the Alexandria database, functional PBE.

Unit cell a=7.506 b=7.506 c=7.506 alpha=90.00 beta=90.00 gamma=90.00
Space group F-43m (No. 216)
Asymmetric unit:
Sm  0.000  0.000  0.000 (multiplicity 4)
Lu  0.000  0.000  0.500 (multiplicity 4)
Cd  0.250  0.250  0.250 (multiplicity 4)
In  0.250  0.250  0.750 (multiplicity 4)

Calculated values
energy of formation	-0.38	eV/atom
crystal system	cubic
magnetization	0.000	μB per atom

---

7.
A geometry-optimized SrLuCdIn structure. Source: the Alexandria database, functional PBE.

Unit cell a=7.724 b=7.724 c=7.724 alpha=90.00 beta=90.00 gamma=90.00
Space group F-43m (No. 216)
Asymmetric unit:
Sr  0.000  0.000  0.000 (multiplicity 4)
Lu  0.000  0.000  0.500 (multiplicity 4)
Cd  0.250  0.250  0.750 (multiplicity 4)
In  0.250  0.250  0.250 (multiplicity 4)

Calculated values
energy of formation	-0.31	eV/atom
crystal system	cubic
magnetization	0.000	μB per atom

---

8.
A geometry-optimized LuTiCdIn structure. Source: the Alexandria database, functional PBE.

Unit cell a=7.036 b=7.036 c=7.036 alpha=90.00 beta=90.00 gamma=90.00
Space group F-43m (No. 216)
Asymmetric unit:
Lu  0.000  0.000  0.000 (multiplicity 4)
Ti  0.000  0.000  0.500 (multiplicity 4)
Cd  0.250  0.250  0.250 (multiplicity 4)
In  0.250  0.250  0.750 (multiplicity 4)

Calculated values
energy of formation	-0.12	eV/atom
crystal system	cubic
magnetization	0.001	μB per atom